First-principles (PBE-GGA) data for LaAsSe after structural relaxation, as listed in Alexandria via LeMat-Bulk.

Computed properties:
SG: P-6m2
Calculated volume, Å³ per atom: 24.817
Spin magnetization, μB/f.u.: 0.00
Uncorrected formation energy, meV per atom: -955

Lattice parameters (Å, degrees): 4.716 4.716 3.866 90.00 90.00 120.00
Sites, in units of the cell vectors:
As (0.000, 0.000, 0.833)
La (0.667, 0.333, 0.333)
Se (0.333, 0.667, 0.834)